# ZnReH3 PBE optimized geometry
data_ZnReH3
_space_group_name_H-M_alt 'P m -3 m'
_space_group_IT_number 221
_space_group_name_Hall '-P 4 2 3'
_cell_length_a 3.3606
_cell_length_b 3.3606
_cell_length_c 3.3606
_cell_angle_alpha 90.00
_cell_angle_beta 90.00
_cell_angle_gamma 90.00
loop_
_atom_site_label
_atom_site_type_symbol
_atom_site_fract_x
_atom_site_fract_y
_atom_site_fract_z
Zn1 Zn 0.0000 0.0000 0.0000
Re1 Re 0.5000 0.5000 0.5000
H1 H 0.0000 0.0000 0.5000
# Calculated total energy, eV per atom: -3.71
# DOS(E_F), states/eV/f.u.: 0.470
# Volume, Å³/cell: 38.0